[1]
16
Lattice="-2.9357 2.8315 -4.4641 4.1588 -2.3454 -3.7104 -4.9053 -6.2441 3.2852" Properties=species:S:1:pos:R:3 comment="GGA-PBE CaPaAuO5, relaxed" dft_energy_ev_per_cell=-113.099 rho_g_cm3=6.72 raw_formation_energy_mev_per_atom=-2123 pbc="T T T"
Ca 0.5709 -2.1831 -3.1400
Ca -4.2531 -3.5748 -1.7493
Pa -2.4527 -3.1220 1.6426
Pa 0.0000 0.0000 0.0000
Au -2.1774 -0.1777 -3.4320
Au -1.5048 -5.5802 -1.4574
O 2.5992 -3.6632 -2.9245
O -6.2814 -2.0947 -1.9648
O -1.3358 1.2877 -4.5869
O -2.3464 -7.0457 -0.3025
O -3.4730 -1.3119 -2.3253
O -0.2092 -4.4461 -2.5641
O -1.1381 -1.7880 -4.6218
O -2.5441 -3.9700 -0.2676
O -0.5117 -0.5413 -1.9548
O -3.1705 -5.2167 -2.9345

=====

[2]
16
Lattice="-2.7115 -5.8386 -1.8821 0.5494 -1.0634 6.5994 -3.3257 6.0050 -2.1023" Properties=species:S:1:pos:R:3 comment="GGA-PBE CaPbAuO5, relaxed" dft_energy_ev_per_cell=-82.986 rho_g_cm3=7.80 raw_formation_energy_mev_per_atom=-964 pbc="T T T"
Ca -1.4592 -1.2860 3.0120
Ca -4.0286 0.3890 -0.3971
Pb -1.6628 3.0025 -1.0512
Pb 0.0000 0.0000 0.0000
Au -2.5204 -2.8400 0.2519
Au -2.9674 1.9430 2.3630
O -0.6901 -0.1598 5.0123
O -4.7976 -0.7372 -2.3973
O -3.3785 -4.6554 -0.0498
O -2.1093 3.7584 2.6648
O -2.5304 -2.2959 -1.7044
O -2.9573 1.3989 4.3193
O -2.3366 -3.3122 2.1933
O -3.1511 2.4152 0.4216
O -1.7874 -1.0254 0.6947
O -3.7003 0.1284 1.9203